# PmCuBrO2, optimized geometry, DFT PBE-GGA
# Space-group type ... P2_1/m
# Formation energy from raw total energies ... -1800 meV per atom
# DOS at the Fermi energy ... 1.2 states/eV/cell
# Total magnetic moment ... 1.98 μB per cell
# Uncorrected energy ... -5.89 eV/atom
data_PmCuBrO2
_space_group_name_H-M_alt 'P 1'
_space_group_IT_number 1
_space_group_name_Hall 'P 1'
_cell_length_a 6.4750
_cell_length_b 3.6744
_cell_length_c 7.4612
_cell_angle_alpha 90.00
_cell_angle_beta 104.77
_cell_angle_gamma 90.00
loop_
_atom_site_label
_atom_site_type_symbol
_atom_site_fract_x
_atom_site_fract_y
_atom_site_fract_z
_atom_site_occupancy
Pm1 Pm 0.1756 0.2500 0.1981 1
Pm2 Pm 0.8244 0.7500 0.8019 1
Cu1 Cu 0.3399 0.2500 0.8451 1
Cu2 Cu 0.6601 0.7500 0.1549 1
Br1 Br 0.2742 0.7500 0.5693 1
Br2 Br 0.7258 0.2500 0.4307 1
O1 O 0.0610 0.2500 0.8709 1
O2 O 0.3684 0.7500 0.1168 1
O3 O 0.6316 0.2500 0.8832 1
O4 O 0.9390 0.7500 0.1291 1

# MoP2, optimized geometry, DFT PBE-GGA
# Space-group type ... Fd-3m
# DOS at the Fermi energy ... 3.3 states/eV/cell
# Total magnetic moment ... 0.00 μB per cell
# Uncorrected energy ... -6.53 eV/atom
# Energy of formation from the pure elements ... 0.690 eV per atom
data_MoP2
_space_group_name_H-M_alt 'P 1'
_space_group_IT_number 1
_space_group_name_Hall 'P 1'
_cell_length_a 4.9093
_cell_length_b 4.9093
_cell_length_c 4.9093
_cell_angle_alpha 60.00
_cell_angle_beta 60.00
_cell_angle_gamma 60.00
loop_
_atom_site_label
_atom_site_type_symbol
_atom_site_fract_x
_atom_site_fract_y
_atom_site_fract_z
_atom_site_occupancy
Mo1 Mo 0.1250 0.1250 0.1250 1
Mo2 Mo 0.8750 0.8750 0.8750 1
P1 P 0.0000 0.5000 0.5000 1
P2 P 0.5000 0.0000 0.5000 1
P3 P 0.5000 0.5000 0.0000 1
P4 P 0.5000 0.5000 0.5000 1

# LaTe2MoN, optimized geometry, DFT PBE-GGA
# Distance to the lowest polymorph of the same formula ... 0 meV/atom
# Space-group type ... P4/mmm
# Formation energy from raw total energies ... -492 meV per atom
# DOS at the Fermi energy ... 2.3 states/eV/cell
# Total magnetic moment ... 0.46 μB per cell
# Uncorrected energy ... -6.57 eV/atom
data_LaTe2MoN
_space_group_name_H-M_alt 'P 1'
_space_group_IT_number 1
_space_group_name_Hall 'P 1'
_cell_length_a 5.5627
_cell_length_b 5.5627
_cell_length_c 3.8909
_cell_angle_alpha 90.00
_cell_angle_beta 90.00
_cell_angle_gamma 90.00
loop_
_atom_site_label
_atom_site_type_symbol
_atom_site_fract_x
_atom_site_fract_y
_atom_site_fract_z
_atom_site_occupancy
La1 La 0.0000 0.0000 0.0000 1
Te1 Te 0.0000 0.5000 0.5000 1
Te2 Te 0.5000 0.0000 0.5000 1
Mo1 Mo 0.5000 0.5000 0.5000 1
N1 N 0.5000 0.5000 0.0000 1

# Ba2SrAu, optimized geometry, DFT PBE-GGA
# Distance to the lowest polymorph of the same formula ... 67 meV/atom
# Space-group type ... Cm
# DOS at the Fermi energy ... 4.5 states/eV/cell
# Total magnetic moment ... 0.00 μB per cell
# Uncorrected energy ... -2.54 eV/atom
# Energy of formation from the pure elements ... -0.334 eV per atom
data_Ba2SrAu
_space_group_name_H-M_alt 'P 1'
_space_group_IT_number 1
_space_group_name_Hall 'P 1'
_cell_length_a 7.8035
_cell_length_b 7.8035
_cell_length_c 6.3525
_cell_angle_alpha 113.97
_cell_angle_beta 113.97
_cell_angle_gamma 30.92
loop_
_atom_site_label
_atom_site_type_symbol
_atom_site_fract_x
_atom_site_fract_y
_atom_site_fract_z
_atom_site_occupancy
Ba1 Ba 0.0000 0.0000 0.0000 1
Ba2 Ba 0.1825 0.1825 0.6823 1
Sr1 Sr 0.8183 0.8183 0.3182 1
Au1 Au 0.4941 0.4941 0.4900 1

# K2CaFe2, optimized geometry, DFT PBE-GGA
# Distance to the lowest polymorph of the same formula ... 0 meV/atom
# Space-group type ... I4/mmm
# DOS at the Fermi energy ... 3.7 states/eV/cell
# Total magnetic moment ... 5.72 μB per cell
# Uncorrected energy ... -3.38 eV/atom
# Energy of formation from the pure elements ... 0.843 eV per atom
data_K2CaFe2
_space_group_name_H-M_alt 'P 1'
_space_group_IT_number 1
_space_group_name_Hall 'P 1'
_cell_length_a 8.0747
_cell_length_b 8.0747
_cell_length_c 8.0747
_cell_angle_alpha 146.29
_cell_angle_beta 146.29
_cell_angle_gamma 48.42
loop_
_atom_site_label
_atom_site_type_symbol
_atom_site_fract_x
_atom_site_fract_y
_atom_site_fract_z
_atom_site_occupancy
K1 K 0.2500 0.7500 0.5000 1
K2 K 0.7500 0.2500 0.5000 1
Ca1 Ca 0.0000 0.0000 0.0000 1
Fe1 Fe 0.4296 0.4296 0.0000 1
Fe2 Fe 0.5704 0.5704 0.0000 1

# DyGa4Ru, optimized geometry, DFT PBE-GGA
# Space-group type ... Pmma
# DOS at the Fermi energy ... 2.9 states/eV/cell
# Total magnetic moment ... 0.00 μB per cell
# Uncorrected energy ... -4.84 eV/atom
# Energy of formation from the pure elements ... -0.513 eV per atom
data_DyGa4Ru
_space_group_name_H-M_alt 'P 1'
_space_group_IT_number 1
_space_group_name_Hall 'P 1'
_cell_length_a 7.7470
_cell_length_b 4.0705
_cell_length_c 6.9110
_cell_angle_alpha 90.00
_cell_angle_beta 90.00
_cell_angle_gamma 90.00
loop_
_atom_site_label
_atom_site_type_symbol
_atom_site_fract_x
_atom_site_fract_y
_atom_site_fract_z
_atom_site_occupancy
Dy1 Dy 0.2500 0.0000 0.1270 1
Dy2 Dy 0.7500 0.0000 0.8730 1
Ga1 Ga 0.0000 0.0000 0.5000 1
Ga2 Ga 0.0637 0.5000 0.8228 1
Ga3 Ga 0.2500 0.5000 0.4500 1
Ga4 Ga 0.4363 0.5000 0.8228 1
Ga5 Ga 0.5000 0.0000 0.5000 1
Ga6 Ga 0.5637 0.5000 0.1772 1
Ga7 Ga 0.7500 0.5000 0.5500 1
Ga8 Ga 0.9363 0.5000 0.1772 1
Ru1 Ru 0.2500 0.0000 0.7006 1
Ru2 Ru 0.7500 0.0000 0.2994 1

# KReBr3, optimized geometry, DFT PBE-GGA
# Distance to the lowest polymorph of the same formula ... 1289 meV/atom
# Space-group type ... Pm-3m
# Formation energy from raw total energies ... 892 meV per atom
# DOS at the Fermi energy ... 11.3 states/eV/cell
# Total magnetic moment ... 4.90 μB per cell
# Uncorrected energy ... -2.82 eV/atom
data_KReBr3
_space_group_name_H-M_alt 'P 1'
_space_group_IT_number 1
_space_group_name_Hall 'P 1'
_cell_length_a 5.9898
_cell_length_b 5.9898
_cell_length_c 5.9898
_cell_angle_alpha 90.00
_cell_angle_beta 90.00
_cell_angle_gamma 90.00
loop_
_atom_site_label
_atom_site_type_symbol
_atom_site_fract_x
_atom_site_fract_y
_atom_site_fract_z
_atom_site_occupancy
K1 K 0.0000 0.0000 0.0000 1
Re1 Re 0.5000 0.5000 0.5000 1
Br1 Br 0.0000 0.0000 0.5000 1
Br2 Br 0.0000 0.5000 0.0000 1
Br3 Br 0.5000 0.0000 0.0000 1

# CaSm4Ho5, optimized geometry, DFT PBE-GGA
# Space-group type ... P4/mmm
# DOS at the Fermi energy ... 14.5 states/eV/cell
# Total magnetic moment ... 0.00 μB per cell
# Uncorrected energy ... -4.34 eV/atom
# Energy of formation from the pure elements ... 0.040 eV per atom
data_CaSm4Ho5
_space_group_name_H-M_alt 'P 1'
_space_group_IT_number 1
_space_group_name_Hall 'P 1'
_cell_length_a 3.6072
_cell_length_b 3.6072
_cell_length_c 25.4119
_cell_angle_alpha 90.00
_cell_angle_beta 90.00
_cell_angle_gamma 90.00
loop_
_atom_site_label
_atom_site_type_symbol
_atom_site_fract_x
_atom_site_fract_y
_atom_site_fract_z
_atom_site_occupancy
Ca1 Ca 0.0000 0.0000 0.0000 1
Sm1 Sm 0.0000 0.0000 0.2038 1
Sm2 Sm 0.0000 0.0000 0.4013 1
Sm3 Sm 0.0000 0.0000 0.5987 1
Sm4 Sm 0.0000 0.0000 0.7962 1
Ho1 Ho 0.5000 0.5000 0.1096 1
Ho2 Ho 0.5000 0.5000 0.3034 1
Ho3 Ho 0.5000 0.5000 0.5000 1
Ho4 Ho 0.5000 0.5000 0.6966 1
Ho5 Ho 0.5000 0.5000 0.8904 1